12
Lattice="4.4685 0.0000 0.0000 -2.2342 3.8698 0.0000 0.0000 0.0000 6.2808" Properties=species:S:1:pos:R:3 comment="PBE PuBe2CuH8, relaxed" mass_density_g_cm3=5.101 total_energy_ev_per_atom=-4.478 magmom_total_mub_per_cell=5.00 sg="P-3m1, No. 164" pbc="T T T"
Pu 0.0000 0.0000 0.0000
Be 0.0000 2.5799 1.4693
Be 2.2342 1.2899 4.8115
Cu 0.0000 0.0000 3.1404
H 0.0000 1.2165 1.8867
H -1.1808 3.2616 1.8867
H 1.0535 0.6082 4.3940
H 0.0000 2.5799 6.2565
H 2.2342 1.2899 0.0243
H 1.1808 3.2616 1.8867
H 3.4150 0.6082 4.3940
H 2.2342 2.6534 4.3940

***

5
Lattice="3.4397 0.0000 0.0000 0.0000 3.4397 0.0000 0.0000 0.0000 3.9933" Properties=species:S:1:pos:R:3 comment="PBE BeCuReH2, relaxed" mass_density_g_cm3=9.166 total_energy_ev_per_atom=-4.213 magmom_total_mub_per_cell=0.09 sg="P4/mmm, No. 123" pbc="T T T"
Be 0.0000 0.0000 0.0000
Cu 0.0000 0.0000 1.9966
Re 1.7198 1.7198 1.9966
H 0.0000 1.7198 0.0000
H 1.7198 0.0000 0.0000

***

5
Lattice="3.7169 0.0000 0.0000 0.0000 3.7169 0.0000 0.0000 0.0000 3.2329" Properties=species:S:1:pos:R:3 comment="PBE Be2CuHRh, relaxed" mass_density_g_cm3=6.896 e_above_lowest_polymorph_mev_per_atom=0 magmom_total_mub_per_cell=0.00 sg="P4/mmm, No. 123" pbc="T T T"
Be 0.0000 1.8584 0.0000
Be 1.8584 0.0000 0.0000
Cu 0.0000 0.0000 1.6165
H 0.0000 0.0000 0.0000
Rh 1.8584 1.8584 1.6165

***

Please write out number 2 again, unchanged.
5
Lattice="3.4397 0.0000 0.0000 0.0000 3.4397 0.0000 0.0000 0.0000 3.9933" Properties=species:S:1:pos:R:3 comment="PBE BeCuReH2, relaxed" mass_density_g_cm3=9.166 total_energy_ev_per_atom=-4.213 magmom_total_mub_per_cell=0.09 sg="P4/mmm, No. 123" pbc="T T T"
Be 0.0000 0.0000 0.0000
Cu 0.0000 0.0000 1.9966
Re 1.7198 1.7198 1.9966
H 0.0000 1.7198 0.0000
H 1.7198 0.0000 0.0000